A plane-wave DFT calculation with SCAN was carried out for a crystal of Al2CuIr relaxed with PBEsol.

## Properties
Total DFT energy (no corrections), eV/atom: -26.2829
DOS at the Fermi energy, states/eV/atom: 0.08
Mass density, g/cm3: 9.71
Space group: Cmme
Calculated formation energy, eV/atom: -0.832

abc: 4.7531 4.7531 5.1961
angles: 90.00 90.00 115.57
Closest atoms and distances in Å follow each position.
Fractional coordinates of all 8 atoms:
Al (0.2500, 0.7500, 0.1723)  4 Cu 2.54, 4 Ir 2.55-2.65
Al (0.7500, 0.2500, 0.8277)  4 Cu 2.54, 4 Ir 2.55-2.65
Al (0.7500, 0.7500, 0.5000)  2 Al 2.53, 4 Ir 2.56, 2 Cu 2.60
Al (0.2500, 0.2500, 0.5000)  2 Al 2.53, 4 Ir 2.56, 2 Cu 2.60
Ir (0.7500, 0.2500, 0.3189)  8 Al 2.55-2.65
Ir (0.2500, 0.7500, 0.6811)  8 Al 2.55-2.65
Cu (0.2500, 0.2500, 0.0000)  2 Cu 2.53, 6 Al 2.54-2.60
Cu (0.7500, 0.7500, 0.0000)  2 Cu 2.53, 6 Al 2.54-2.60